Entry 1:
A geometry-optimized TbCdInS4 structure, computed with PBE.

Summary:
Uncorrected formation energy ... -1099 meV per atom
Calculated volume ... 25.06 A^3/atom

a b c (Å): 7.883 7.924 7.924
angles (deg): 60.00 60.17 60.17
Positions (direct):
1 S 0.773 0.239 0.739
2 S 0.751 0.761 0.261
3 S 0.754 0.224 0.269
4 S 0.246 0.231 0.276
5 S 0.754 0.769 0.724
6 S 0.227 0.761 0.261
7 S 0.246 0.776 0.731
8 S 0.249 0.239 0.739
9 Cd 0.624 0.626 0.126
10 Cd 0.376 0.374 0.874
11 In 0.500 0.000 0.500
12 In 0.000 0.000 0.500
13 Tb 0.000 0.500 0.500
14 Tb 0.000 0.000 0.000

Entry 2:
A geometry-optimized CdInTe2S structure, computed with PBE.

Summary:
Uncorrected formation energy ... 353 meV per atom
Calculated volume ... 32.73 A^3/atom

a b c (Å): 5.780 4.899 5.780
angles (deg): 90.00 90.00 90.00
Positions (direct):
1 Cd 0.500 0.500 0.500
2 S 0.000 0.500 0.000
3 Te 0.000 0.000 0.500
4 Te 0.500 0.000 0.000
5 In 0.000 0.000 0.000